No. 1
Compound: SbBr5
Source: Alexandria via LeMat-Bulk
Functional: GGA-PBEsol
Structure: relaxed

Results
* uncorrected formation energy: 0.201 eV per atom
* Fermi-level density of states: 7.2 states/eV/cell

a = 3.6966 Å, b = 3.6966 Å, c = 10.8557 Å
α = 90.00°, β = 90.00°, γ = 90.00°
Closest atoms and distances in Å follow each position.
Space group P4/mmm (No. 123)
Unique sites:
Sb  0.0000  0.0000  0.0000 x1  8 Br 3.08
Br  0.0000  0.0000  0.3308 x2  8 Br 3.19-3.27
Br  0.5000  0.5000  0.1493 x2  4 Sb 3.08, 5 Br 3.24-3.27
Br  0.5000  0.5000  0.5000 x1  8 Br 3.19

---

No. 2
Compound: TcOs3
Source: Alexandria via LeMat-Bulk
Functional: GGA-PBEsol
Structure: relaxed

Results
* energy above the most stable polymorph in this dataset: 88 meV per atom
* Fermi-level density of states: 14.4 states/eV/cell

a = 5.4345 Å, b = 5.4345 Å, c = 8.7316 Å
α = 90.00°, β = 90.00°, γ = 120.00°
Closest atoms and distances in Å follow each position.
Space group P6_3/mmc (No. 194)
Unique sites:
Tc  0.0000  0.0000  0.0000 x2  12 Os 2.69-2.72
Tc  0.3333  0.6667  0.2500 x2  12 Os 2.69-2.72
Os  0.0000  0.5000  0.0000 x6  4 Tc 2.69-2.72, 8 Os 2.69-2.72
Os  0.1662  0.3323  0.7500 x6  4 Tc 2.69-2.72, 8 Os 2.69-2.73

---

No. 3
Compound: CdAsOs
Source: Alexandria via LeMat-Bulk
Functional: GGA-PBEsol
Structure: relaxed

Results
* energy above the most stable polymorph in this dataset: 2 meV per atom
* Fermi-level density of states: 3.1 states/eV/cell

a = 3.0287 Å, b = 3.0287 Å, c = 11.4781 Å
α = 90.00°, β = 90.00°, γ = 90.00°
Closest atoms and distances in Å follow each position.
Space group I4mm (No. 107)
Unique sites:
Cd  0.0000  0.0000  0.0000 x2  4 Os 2.89, 4 Cd 3.03
As  0.0000  0.0000  0.2825 x2  4 Os 2.51
Os  0.0000  0.0000  0.6688 x2  4 As 2.51

---

No. 4
Compound: SiMo3Os
Source: Alexandria via LeMat-Bulk
Functional: GGA-PBEsol
Structure: relaxed

Results
* uncorrected formation energy: 1.264 eV per atom
* Fermi-level density of states: 6.0 states/eV/cell

a = 4.3535 Å, b = 4.3535 Å, c = 4.3535 Å
α = 90.00°, β = 90.00°, γ = 90.00°
Closest atoms and distances in Å follow each position.
Space group Pm-3m (No. 221)
Unique sites:
Si  0.0000  0.0000  0.0000 x1  6 Mo 2.18
Mo  0.0000  0.0000  0.5000 x3  2 Si 2.18
Os  0.5000  0.5000  0.5000 x1  12 Mo 3.08

---

No. 5
Compound: Zn3InOs
Source: Alexandria via LeMat-Bulk
Functional: GGA-PBEsol
Structure: relaxed

Results
* final energy: -0.083 hartree per atom
* Fermi-level density of states: 3.1 states/eV/cell

a = 4.7832 Å, b = 4.7832 Å, c = 4.7832 Å
α = 90.00°, β = 90.00°, γ = 90.00°
Closest atoms and distances in Å follow each position.
Space group Pm-3m (No. 221)
Unique sites:
Zn  0.0000  0.0000  0.5000 x3  2 In 2.39
In  0.0000  0.0000  0.0000 x1  6 Zn 2.39
Os  0.5000  0.5000  0.5000 x1  12 Zn 3.38

---

No. 6
Compound: K3BeFe
Source: Alexandria via LeMat-Bulk
Functional: GGA-PBEsol
Structure: relaxed

Results
* final energy: -0.070 hartree per atom
* Fermi-level density of states: 9.5 states/eV/cell

a = 6.1390 Å, b = 6.1390 Å, c = 6.1390 Å
α = 90.00°, β = 90.00°, γ = 90.00°
Closest atoms and distances in Å follow each position.
Space group Pm-3m (No. 221)
Unique sites:
K  0.0000  0.0000  0.5000 x3  2 Be 3.07
Be  0.0000  0.0000  0.0000 x1  6 K 3.07
Fe  0.5000  0.5000  0.5000 x1  12 K 4.34